1.
VASP calculation (PBE-GGA) on a relaxed structure of Fe2CoMo.

abc: 4.1248 2.5508 4.8708
angles: 79.70 90.00 90.00
Each line ends with the local moment (μB).
Atoms (fractional coordinates):
1 Co 0.5000 0.7500 0.7500  1.56
2 Mo 0.5000 0.2500 0.2500  -0.18
3 Fe 0.0000 0.5080 0.5094  2.41
4 Fe 0.0000 0.9920 0.9906  2.41

## Properties
size of the total moment = 6.1 μB/cell
calculated total energy = -34.415 eV/cell
SG = P2/m
calculated volume = 12.61 Å³ per atom

---

2.
VASP calculation (PBE-GGA) on a relaxed structure of FeCo3Mo.

abc: 4.3543 4.6342 6.6878
angles: 110.27 90.00 90.00
Each line ends with the local moment (μB).
Atoms (fractional coordinates):
1 Co 0.7500 0.3965 0.2754  0.66
2 Co 0.2500 0.1211 0.7246  0.66
3 Co 0.2500 0.6035 0.7246  0.66
4 Co 0.0000 0.0000 0.0000  1.20
5 Co 0.7500 0.8789 0.2754  0.66
6 Co 0.5000 0.0000 0.0000  1.20
7 Fe 0.7500 0.4417 0.8835  2.70
8 Fe 0.2500 0.5583 0.1165  2.70
9 Mo 0.7500 0.8070 0.6139  -0.46
10 Mo 0.2500 0.1930 0.3861  -0.46

## Properties
size of the total moment = 9.4 μB/cell
calculated total energy = -78.143 eV/cell
distance to the lowest polymorph of the same formula = 0.000 eV/atom
SG = Cmcm
calculated volume = 12.66 Å³ per atom

---

3.
VASP calculation (PBE-GGA) on a relaxed structure of Fe2CoMo.

abc: 3.6329 3.5978 3.5978
angles: 90.00 90.00 90.00
Each line ends with the local moment (μB).
Atoms (fractional coordinates):
1 Mo 0.5000 0.5000 0.0000  -0.37
2 Fe 0.0000 0.5000 0.5000  1.07
3 Fe 0.0000 0.0000 0.0000  1.07
4 Co 0.5000 0.0000 0.5000  -0.31

## Properties
size of the total moment = 1.4 μB/cell
calculated total energy = -34.662 eV/cell
SG = P4/mmm
calculated volume = 11.76 Å³ per atom

---

4.
VASP calculation (PBE-GGA) on a relaxed structure of Fe2CoMo.

abc: 2.8601 4.2347 4.1580
angles: 90.00 90.00 90.00
Each line ends with the local moment (μB).
Atoms (fractional coordinates):
1 Co 0.0000 0.5000 0.5000  1.46
2 Mo 0.5000 0.0000 0.5000  -0.06
3 Fe 0.0000 0.0000 0.0000  1.93
4 Fe 0.5000 0.5000 0.0000  2.72

## Properties
size of the total moment = 6.0 μB/cell
calculated total energy = -34.225 eV/cell
SG = Pmmm
calculated volume = 12.59 Å³ per atom

---

5.
VASP calculation (PBE-GGA) on a relaxed structure of Fe2CoMo.

abc: 2.6097 3.5766 5.1933
angles: 90.00 90.00 90.00
Each line ends with the local moment (μB).
Atoms (fractional coordinates):
1 Mo 0.0000 0.0000 0.5006  -0.34
2 Fe 0.5000 0.5000 0.2356  1.24
3 Fe 0.0000 0.0000 0.9989  2.19
4 Co 0.5000 0.5000 0.7648  0.58

## Properties
size of the total moment = 3.6 μB/cell
calculated total energy = -34.392 eV/cell
SG = Pmm2
calculated volume = 12.12 Å³ per atom

---

6.
VASP calculation (PBE-GGA) on a relaxed structure of FeCo3Mo.

abc: 4.1831 4.1831 4.1831
angles: 90.00 90.00 90.00
Each line ends with the local moment (μB).
Atoms (fractional coordinates):
1 Co 0.5000 0.0000 0.0000  1.43
2 Co 0.0000 0.5000 0.0000  1.59
3 Co 0.0000 0.0000 0.5000  1.83
4 Mo 0.5000 0.5000 0.5000  1.55
5 Fe 0.0000 0.0000 0.0000  2.24

## Properties
size of the total moment = 8.8 μB/cell
calculated total energy = -34.358 eV/cell
distance to the lowest polymorph of the same formula = 0.943 eV/atom
SG = Pm-3m
calculated volume = 14.64 Å³ per atom

---

7.
VASP calculation (PBE-GGA) on a relaxed structure of Fe2CoMo.

abc: 8.7030 8.7030 8.7030
angles: 17.29 17.29 17.29
Each line ends with the local moment (μB).
Atoms (fractional coordinates):
1 Mo 0.2500 0.2500 0.2500  -0.22
2 Co 0.7500 0.7500 0.7500  1.56
3 Fe 0.0059 0.0059 0.0059  2.33
4 Fe 0.4941 0.4941 0.4941  2.33

## Properties
size of the total moment = 5.9 μB/cell
calculated total energy = -34.023 eV/cell
SG = R-3m
calculated volume = 12.71 Å³ per atom

---

8.
VASP calculation (PBE-GGA) on a relaxed structure of Fe2CoMo.

abc: 8.7040 8.7040 8.7040
angles: 17.30 17.30 17.30
Each line ends with the local moment (μB).
Atoms (fractional coordinates):
1 Fe 0.0021 0.0021 0.0021  2.50
2 Fe 0.2543 0.2543 0.2543  2.36
3 Mo 0.4981 0.4981 0.4981  -0.18
4 Co 0.7456 0.7456 0.7456  1.34

## Properties
size of the total moment = 5.9 μB/cell
calculated total energy = -34.033 eV/cell
SG = R3m
calculated volume = 12.72 Å³ per atom

---

9.
VASP calculation (PBE-GGA) on a relaxed structure of FeCo3Mo2.

abc: 4.7095 4.7095 7.5759
angles: 90.00 90.00 120.00
Each line ends with the local moment (μB).
Atoms (fractional coordinates):
1 Co 0.8301 0.6603 0.7500  0.25
2 Co 0.3397 0.1699 0.7500  0.25
3 Co 0.1699 0.3397 0.2500  0.25
4 Co 0.8301 0.1699 0.7500  0.25
5 Co 0.6603 0.8301 0.2500  0.25
6 Co 0.1699 0.8301 0.2500  0.25
7 Mo 0.3333 0.6667 0.5689  -0.10
8 Mo 0.3333 0.6667 0.9311  -0.10
9 Mo 0.6667 0.3333 0.4311  -0.10
10 Mo 0.6667 0.3333 0.0689  -0.10
11 Fe 0.0000 0.0000 0.0000  1.67
12 Fe 0.0000 0.0000 0.5000  1.67

## Properties
size of the total moment = 4.4 μB/cell
calculated total energy = -102.860 eV/cell
SG = P6_3/mmc
calculated volume = 12.13 Å³ per atom

---

10.
VASP calculation (PBE-GGA) on a relaxed structure of FeCo2MoN.

abc: 3.7624 3.7624 4.0520
angles: 90.00 90.00 90.00
Each line ends with the local moment (μB).
Atoms (fractional coordinates):
1 Mo 0.0000 0.0000 0.5000  -0.07
2 N 0.0000 0.0000 0.0000  0.06
3 Co 0.0000 0.5000 0.0000  1.16
4 Co 0.5000 0.0000 0.0000  1.16
5 Fe 0.5000 0.5000 0.5000  2.83

## Properties
size of the total moment = 5.2 μB/cell
calculated total energy = -41.693 eV/cell
SG = P4/mmm
raw formation energy = 0.028 eV/atom
calculated volume = 11.47 Å³ per atom

---

11.
VASP calculation (PBE-GGA) on a relaxed structure of FeCoMo2N.

abc: 4.0915 4.0915 3.6901
angles: 90.00 90.00 90.00
Each line ends with the local moment (μB).
Atoms (fractional coordinates):
1 Co 0.0000 0.0000 0.5000  -0.07
2 Mo 0.0000 0.5000 0.0000  -0.12
3 Mo 0.5000 0.0000 0.0000  -0.12
4 N 0.0000 0.0000 0.0000  0.03
5 Fe 0.5000 0.5000 0.5000  2.57

## Properties
size of the total moment = 2.3 μB/cell
calculated total energy = -45.721 eV/cell
distance to the lowest polymorph of the same formula = 0.000 eV/atom
SG = P4/mmm
raw formation energy = -0.033 eV/atom
calculated volume = 12.36 Å³ per atom

---

12.
VASP calculation (PBE-GGA) on a relaxed structure of FeCoMo2N.

abc: 4.0653 4.0653 3.7148
angles: 90.00 90.00 90.00
Each line ends with the local moment (μB).
Atoms (fractional coordinates):
1 Mo 0.0000 0.5000 0.0000  -0.04
2 Mo 0.5000 0.0000 0.0000  -0.04
3 Co 0.5000 0.5000 0.5000  1.05
4 N 0.0000 0.0000 0.0000  0.02
5 Fe 0.0000 0.0000 0.5000  1.47

## Properties
size of the total moment = 2.4 μB/cell
calculated total energy = -45.574 eV/cell
distance to the lowest polymorph of the same formula = 0.029 eV/atom
SG = P4/mmm
raw formation energy = -0.004 eV/atom
calculated volume = 12.28 Å³ per atom

---

13.
VASP calculation (PBE-GGA) on a relaxed structure of FeCoNiMo.

abc: 4.0838 4.0838 4.0838
angles: 60.00 60.00 60.00
Each line ends with the local moment (μB).
Atoms (fractional coordinates):
1 Co 0.5000 0.5000 0.5000  -0.23
2 Fe 0.0000 0.0000 0.0000  1.61
3 Mo 0.7500 0.7500 0.7500  -0.35
4 Ni 0.2500 0.2500 0.2500  0.33

## Properties
size of the total moment = 1.3 μB/cell
calculated total energy = -31.712 eV/cell
distance to the lowest polymorph of the same formula = 0.124 eV/atom
SG = F-43m
calculated volume = 12.04 Å³ per atom

---

14.
VASP calculation (PBE-GGA) on a relaxed structure of FeCoNiMo.

abc: 3.6189 3.6190 4.4725
angles: 113.85 113.86 90.00
Each line ends with the local moment (μB).
Atoms (fractional coordinates):
1 Co 0.5000 0.5001 0.0000  0.64
2 Mo 0.7500 0.2500 0.5000  -0.34
3 Ni 0.0000 0.9999 0.0000  0.16
4 Fe 0.2500 0.7500 0.5000  2.08

## Properties
size of the total moment = 2.5 μB/cell
calculated total energy = -32.208 eV/cell
distance to the lowest polymorph of the same formula = 0.000 eV/atom
SG = I-4m2
calculated volume = 12.01 Å³ per atom